Entry 1:
Density functional theory data (PBE) for a relaxed LaTlIn crystal.

Cell and atoms, written as POSCAR:
```
LaTlIn
1.0
5.046 0.000 0.000
-2.523 4.370 0.000
0.000 0.000 4.041
La Tl In
1 1 1
Direct
0.000 0.000 0.000 La
0.667 0.333 0.387 Tl
0.333 0.667 0.583 In
```

Summary:
**VASP energy**: -3.7578 eV/atom
**Calculated formation energy**: -1.24 eV per formula unit
**E above lowest polymorph**: 0.000 eV/atom
**DOS(E_F)**: 1.8 states/eV/f.u.

Entry 2:
Density functional theory data (PBE) for a relaxed Y2InW crystal.

Cell and atoms, written as POSCAR:
```
Y2InW
1.0
-2.242 2.242 4.672
2.242 -2.242 4.672
2.242 2.242 -4.672
Y In W
2 1 1
Direct
0.000 0.000 0.000 Y
0.750 0.250 0.500 Y
0.250 0.750 0.500 In
0.500 0.500 0.000 W
```

Summary:
**VASP energy**: -6.9022 eV/atom
**Calculated formation energy**: 1.01 eV per formula unit
**DOS(E_F)**: 4.0 states/eV/f.u.

Entry 3:
Density functional theory data (PBE) for a relaxed CeMgIr crystal.

Cell and atoms, written as POSCAR:
```
CeMgIr
1.0
-1.617 1.617 6.156
1.617 -1.617 6.156
1.617 1.617 -6.156
Ce Mg Ir
1 1 1
Direct
0.000 0.000 0.000 Ce
0.727 0.727 0.000 Mg
0.355 0.355 0.000 Ir
```

Summary:
**VASP energy**: -5.8710 eV/atom
**Calculated formation energy**: -1.22 eV per formula unit
**DOS(E_F)**: 3.8 states/eV/f.u.

Entry 4:
Density functional theory data (PBE) for a relaxed Li2MnTe crystal.

Cell and atoms, written as POSCAR:
```
Li2MnTe
1.0
-3.817 3.817 2.480
3.817 -3.817 2.480
3.817 3.817 -2.480
Li Mn Te
4 2 2
Direct
0.123 0.625 0.998 Li
0.375 0.373 0.498 Li
0.627 0.125 0.002 Li
0.875 0.877 0.502 Li
0.000 0.000 0.000 Mn
0.750 0.250 0.500 Mn
0.250 0.750 0.500 Te
0.500 0.500 0.000 Te
```

Summary:
**VASP energy**: -3.6716 eV/atom
**DOS(E_F)**: 4.2 states/eV/f.u.